Entry 1:
Density functional theory data (GGA-PBE) for a relaxed structure of TlAg2F4.

ΔE_f (raw), eV per atom: -1.195
Calculated density, g/cm3: 6.07
Excess energy over the best structure of this formula in the dataset, meV/atom: 113.2

a = 4.4884 Å, b = 4.4884 Å, c = 6.7407 Å
α = 90.00°, β = 90.00°, γ = 90.00°
Closest atoms and distances in Å follow each position.
Fractional coordinates of all 7 atoms:
F  0.7474  0.2526  0.7577  1 Tl 2.29, 2 Ag 2.35
F  0.2526  0.7474  0.7577  1 Tl 2.29, 2 Ag 2.35
F  0.2526  0.2526  0.2423  1 Tl 2.29, 2 Ag 2.35
F  0.7474  0.7474  0.2423  1 Tl 2.29, 2 Ag 2.35
Ag  0.5000  0.0000  0.5000  4 F 2.35
Ag  0.0000  0.5000  0.5000  4 F 2.35
Tl  0.0000  0.0000  0.0000  4 F 2.29

***

Entry 2:
Density functional theory data (GGA-PBE) for a relaxed structure of Cu2AgCl.

ΔE_f (raw), eV per atom: 0.280
Calculated density, g/cm3: 7.08
Excess energy over the best structure of this formula in the dataset, meV/atom: 294.8

a = 4.3764 Å, b = 4.3764 Å, c = 3.3125 Å
α = 90.09°, β = 90.09°, γ = 89.39°
Closest atoms and distances in Å follow each position.
Fractional coordinates of all 4 atoms:
Cl  0.0000  0.5000  0.5000  8 Cu 2.74-2.75
Cu  0.5000  0.5000  0.0000  4 Cl 2.74-2.75, 4 Ag 2.74-2.75
Cu  0.0000  0.0000  0.0000  4 Ag 2.74-2.75, 4 Cl 2.74-2.75
Ag  0.5000  0.0000  0.5000  8 Cu 2.74-2.75

***

Entry 3:
Density functional theory data (GGA-PBE) for a relaxed structure of CeHo6Tm5.

Calculated density, g/cm3: 8.93

a = 4.9631 Å, b = 9.9281 Å, c = 9.2889 Å
α = 122.30°, β = 105.45°, γ = 90.03°
Closest atoms and distances in Å follow each position.
Fractional coordinates of all 12 atoms:
Ho  0.1655  0.9154  0.3309  4 Ho 3.50-3.54, 7 Tm 3.50-3.52, 1 Ce 3.50
Ho  0.8345  0.5846  0.6691  4 Ho 3.50-3.54, 1 Ce 3.50, 7 Tm 3.50-3.52
Ho  0.5000  0.7509  0.0000  4 Ho 3.50, 2 Ce 3.50, 6 Tm 3.51-3.53
Ho  0.1655  0.4154  0.3309  4 Ho 3.50-3.54, 1 Ce 3.50, 7 Tm 3.50-3.52
Ho  0.5000  0.2491  0.0000  4 Ho 3.50, 2 Ce 3.50, 6 Tm 3.51-3.53
Ho  0.8345  0.0846  0.6691  4 Ho 3.50-3.54, 7 Tm 3.50-3.52, 1 Ce 3.50
Tm  0.6672  0.6673  0.3346  4 Tm 3.50-3.52, 8 Ho 3.51-3.53
Tm  0.0000  0.5000  0.0000  8 Ho 3.50-3.52, 4 Tm 3.52
Tm  0.3331  0.8331  0.6663  2 Tm 3.50, 8 Ho 3.51-3.52, 2 Ce 3.51
Tm  0.3328  0.3327  0.6654  4 Tm 3.50-3.52, 8 Ho 3.51-3.53
Tm  0.6669  0.1669  0.3337  2 Tm 3.50, 8 Ho 3.51-3.52, 2 Ce 3.51
Ce  0.0000  0.0000  0.0000  8 Ho 3.50, 4 Tm 3.51

***

Entry 4:
Density functional theory data (GGA-PBE) for a relaxed structure of Pr2Hg3Au3.

Calculated density, g/cm3: 12.95

a = 5.1452 Å, b = 5.1452 Å, c = 8.7634 Å
α = 72.93°, β = 72.93°, γ = 60.00°
Closest atoms and distances in Å follow each position.
Fractional coordinates of all 8 atoms:
Au  0.8767  0.8767  0.3699  4 Hg 3.06-3.11, 4 Pr 3.15-3.19
Au  0.1279  0.1279  0.6162  4 Hg 2.96-3.14, 4 Pr 3.07-3.09
Au  0.3703  0.3703  0.8891  4 Hg 3.04-3.21, 4 Pr 3.08-3.11
Pr  0.4959  0.4959  0.5122  7 Au 3.09-3.19, 1 Hg 3.19
Pr  0.0040  0.0040  0.9881  5 Au 3.07-3.15, 3 Hg 3.18
Hg  0.2476  0.2476  0.2573  5 Au 2.96-3.11, 3 Hg 3.16
Hg  0.6247  0.6247  0.1258  4 Hg 3.16-3.17, 4 Pr 3.18-3.19
Hg  0.7529  0.7529  0.7414  7 Au 3.06-3.21, 1 Hg 3.17

***

Raw total energy? In order: -3.42 -2.94 -4.61 -3.06 eV per atom.